(1)
Material: La2PtO4
Method: DFT, PBE
State: relaxed

## Properties
Mass density ... 8.66 g/cm³
E ... -7.6237 eV/atom
Magnetization ... 0.00 μB per atom

Unit cell a=6.8850 b=6.8850 c=6.8850 alpha=145.73 beta=145.73 gamma=49.25
Last column: nearest neighbours and their distance in Å.
Sites, in units of the cell vectors:
O (0.5000, 0.0000, 0.5000)  2 Pt 2.03
O (0.7500, 0.2500, 0.5000)  4 La 2.37
O (0.0000, 0.5000, 0.5000)  2 Pt 2.03
La (0.3481, 0.3481, 0.0000)  4 O 2.37
Pt (0.0000, 0.0000, 0.0000)  4 O 2.03
La (0.6519, 0.6519, 0.0000)  4 O 2.37
O (0.2500, 0.7500, 0.5000)  4 La 2.37


(2)
Material: KCu2
Method: DFT, PBE
State: relaxed

## Properties
Mass density ... 4.37 g/cm³
E ... -2.4404 eV/atom

Unit cell a=5.7481 b=5.7481 c=5.7481 alpha=133.59 beta=95.86 gamma=102.03
Last column: nearest neighbours and their distance in Å.
Sites, in units of the cell vectors:
Cu (0.7479, 0.1613, 0.5866)  4 Cu 2.52-2.69
Cu (0.2521, 0.8387, 0.4134)  4 Cu 2.52-2.69
Cu (0.9253, 0.8387, 0.0866)  4 Cu 2.52-2.69
K (0.6684, 0.4184, 0.2500)  12 Cu 3.13-3.49, 2 K 3.33
K (0.3316, 0.5816, 0.7500)  12 Cu 3.13-3.49, 2 K 3.33
Cu (0.0747, 0.1613, 0.9134)  4 Cu 2.52-2.69


(3)
Material: SmYNO
Method: DFT, PBE
State: relaxed

## Properties
ΔE to the lowest computed polymorph ... 0.459 eV per atom
Mass density ... 5.49 g/cm³
E ... -7.8812 eV/atom
Magnetization ... 0.00 μB per atom

Unit cell a=4.4034 b=4.4034 c=8.3951 alpha=90.00 beta=90.00 gamma=90.00
Last column: nearest neighbours and their distance in Å.
Sites, in units of the cell vectors:
N (0.2500, 0.2500, 0.5769)  4 Y 2.29
Y (0.7500, 0.2500, 0.5000)  4 N 2.29
O (0.7500, 0.2500, 0.0000)  4 Sm 2.36
Y (0.2500, 0.7500, 0.5000)  4 N 2.29
Sm (0.2500, 0.2500, 0.1015)  4 O 2.36
O (0.2500, 0.7500, 0.0000)  4 Sm 2.36
Sm (0.7500, 0.7500, 0.8986)  4 O 2.36
N (0.7500, 0.7500, 0.4231)  4 Y 2.29


(4)
Material: NiOsPd
Method: DFT, PBE
State: relaxed

## Properties
ΔE to the lowest computed polymorph ... 0.000 eV per atom
Mass density ... 13.07 g/cm³
ΔH_f (0 K) ... 66 kJ per mole of atoms
E ... -6.6343 eV/atom
Magnetization ... 0.00 μB per atom

Unit cell a=3.9965 b=3.9965 c=3.9965 alpha=60.00 beta=60.00 gamma=60.00
Last column: nearest neighbours and their distance in Å.
Sites, in units of the cell vectors:
Os (0.2500, 0.2500, 0.2500)  4 Ni 2.45
Pd (0.7500, 0.7500, 0.7500)  4 Ni 2.45
Ni (0.0000, 0.0000, 0.0000)  4 Os 2.45, 4 Pd 2.45


(5)
Material: LaZrCuPt
Method: DFT, PBE
State: relaxed

## Properties
ΔE to the lowest computed polymorph ... 0.045 eV per atom
Mass density ... 10.64 g/cm³
ΔH_f (0 K) ... -35 kJ per mole of atoms
E ... -6.1773 eV/atom
Magnetization ... 0.00 μB per atom

Unit cell a=4.7598 b=4.7598 c=4.7598 alpha=60.00 beta=60.00 gamma=60.00
Last column: nearest neighbours and their distance in Å.
Sites, in units of the cell vectors:
Zr (0.2500, 0.2500, 0.2500)  4 Pt 2.91, 4 La 2.91
Cu (0.7500, 0.7500, 0.7500)  4 La 2.91, 4 Pt 2.91
Pt (0.5000, 0.5000, 0.5000)  4 Cu 2.91, 4 Zr 2.91
La (0.0000, 0.0000, 0.0000)  4 Cu 2.91, 4 Zr 2.91


(6)
Material: ZnAgSeO
Method: DFT, PBE
State: relaxed

## Properties
ΔE to the lowest computed polymorph ... 0.085 eV per atom
Mass density ... 6.40 g/cm³
E ... -3.6006 eV/atom

Unit cell a=5.5255 b=3.7741 c=13.3429 alpha=90.00 beta=90.00 gamma=90.00
Last column: nearest neighbours and their distance in Å.
Sites, in units of the cell vectors:
Zn (0.3526, 0.7500, 0.8070)  2 O 1.90-1.95
O (0.2031, 0.7500, 0.6785)  2 Zn 1.90-1.95
Zn (0.6474, 0.2500, 0.1930)  2 O 1.90-1.95
Ag (0.7430, 0.2500, 0.9198)  2 O 2.31
Se (0.2316, 0.2500, 0.9248)  2 Zn 2.55, 4 Ag 2.70-2.83
O (0.7969, 0.2500, 0.3215)  2 Zn 1.90-1.95
Zn (0.8526, 0.7500, 0.6930)  2 O 1.90-1.95
Se (0.7684, 0.7500, 0.0752)  2 Zn 2.55, 4 Ag 2.70-2.83
O (0.2969, 0.2500, 0.1785)  2 Zn 1.90-1.95
Se (0.2684, 0.7500, 0.4248)  2 Zn 2.55, 4 Ag 2.70-2.83
Se (0.7316, 0.2500, 0.5752)  2 Zn 2.55, 4 Ag 2.70-2.83
Ag (0.7570, 0.7500, 0.4198)  2 O 2.31
Zn (0.1474, 0.2500, 0.3070)  2 O 1.90-1.95
O (0.7031, 0.7500, 0.8215)  2 Zn 1.90-1.95
Ag (0.2430, 0.2500, 0.5802)  2 O 2.31
Ag (0.2570, 0.7500, 0.0802)  2 O 2.31